1.
Material: ZnTe
Method: DFT, SCAN
State: PBEsol geometry

Formation energy (no corrections) ... 87 meV per atom

a = 3.805 Å, b = 3.918 Å, c = 3.871 Å
α = 59.59°, β = 90.00°, γ = 90.00°
Fractional coordinates of all 2 atoms:
Zn 0.500 0.500 0.000
Te 0.000 0.000 0.000



2.
Material: ReNiF2
Method: DFT, SCAN
State: PBEsol geometry

Formation energy (no corrections) ... -440 meV per atom

a = 2.607 Å, b = 2.607 Å, c = 7.802 Å
α = 80.38°, β = 80.38°, γ = 60.00°
Site moments in Bohr magnetons follow the coordinates.
Fractional coordinates of all 4 atoms:
Re 0.500 0.500 0.500  0.02
F 0.080 0.080 0.761  0.00
F 0.920 0.920 0.239  0.00
Ni 0.000 0.000 0.000  0.95



3.
Material: Mg2AlCl
Method: DFT, SCAN
State: PBEsol geometry

Distance to the lowest polymorph of the same formula ... 0.000 eV per atom
Formation energy (no corrections) ... -492 meV per atom

a = 3.396 Å, b = 3.396 Å, c = 8.302 Å
α = 78.20°, β = 78.20°, γ = 60.00°
Fractional coordinates of all 4 atoms:
Mg 0.251 0.251 0.247
Mg 0.749 0.749 0.753
Cl 0.000 0.000 0.000
Al 0.500 0.500 0.500



4.
Material: Ca2BeSi
Method: DFT, SCAN
State: PBEsol geometry

Distance to the lowest polymorph of the same formula ... 0.152 eV per atom
Formation energy (no corrections) ... 49 meV per atom

a = 3.472 Å, b = 3.472 Å, c = 7.105 Å
α = 90.00°, β = 90.00°, γ = 90.00°
Fractional coordinates of all 4 atoms:
Be 0.500 0.500 0.500
Ca 0.000 0.000 0.746
Ca 0.000 0.000 0.254
Si 0.500 0.500 0.000



5.
Material: KBaFe4Se6
Method: DFT, SCAN
State: PBEsol geometry

Formation energy (no corrections) ... -601 meV per atom

a = 5.293 Å, b = 8.856 Å, c = 10.932 Å
α = 90.00°, β = 90.00°, γ = 90.00°
Fractional coordinates of all 24 atoms:
Se 0.500 0.456 0.114
Se 0.000 0.043 0.887
Se 0.500 0.250 0.377
Se 0.000 0.750 0.121
Se 0.000 0.457 0.887
Se 0.500 0.544 0.614
Se 0.500 0.956 0.614
Se 0.500 0.750 0.877
Se 0.000 0.543 0.387
Se 0.000 0.250 0.621
Se 0.000 0.957 0.387
Se 0.500 0.044 0.114
Fe 0.252 0.106 0.500
Fe 0.748 0.606 0.000
Fe 0.748 0.894 0.000
Fe 0.252 0.894 0.000
Fe 0.252 0.606 0.000
Fe 0.748 0.394 0.500
Fe 0.252 0.394 0.500
Fe 0.748 0.106 0.500
K 0.000 0.250 0.176
K 0.000 0.750 0.676
Ba 0.500 0.250 0.826
Ba 0.500 0.750 0.326



6.
Material: Li2CaAl
Method: DFT, SCAN
State: PBEsol geometry

Energy of formation from the pure elements ... -0.05 eV per atom

a = 4.156 Å, b = 4.959 Å, c = 5.371 Å
α = 117.49°, β = 112.76°, γ = 90.00°
Fractional coordinates of all 4 atoms:
Li 0.254 0.754 0.507
Li 0.978 0.978 0.955
Ca 0.749 0.249 0.499
Al 0.520 0.520 0.039



7.
Material: EuAg4Sb2
Method: DFT, SCAN
State: PBEsol geometry

Formation energy (no corrections) ... -359 meV per atom

a = 4.646 Å, b = 4.646 Å, c = 8.456 Å
α = 74.05°, β = 74.05°, γ = 60.00°
Site moments in Bohr magnetons follow the coordinates.
Fractional coordinates of all 7 atoms:
Eu 0.000 0.000 0.000  6.86
Ag 0.565 0.565 0.306  -0.01
Ag 0.435 0.435 0.694  -0.01
Ag 0.856 0.856 0.431  0.00
Ag 0.144 0.144 0.569  0.00
Sb 0.260 0.260 0.219  -0.04
Sb 0.740 0.740 0.781  -0.04



8.
Material: Tc2MoRu
Method: DFT, SCAN
State: PBEsol geometry

Distance to the lowest polymorph of the same formula ... 0.000 eV per atom
Energy of formation from the pure elements ... 0.21 eV per atom

a = 3.149 Å, b = 3.149 Å, c = 5.822 Å
α = 90.00°, β = 90.00°, γ = 90.00°
Fractional coordinates of all 4 atoms:
Mo 0.000 0.000 0.505
Ru 0.500 0.500 0.741
Tc 0.500 0.500 0.225
Tc 0.000 0.000 0.028



9.
Material: Li2CaTa
Method: DFT, SCAN
State: PBEsol geometry

Distance to the lowest polymorph of the same formula ... 0.031 eV per atom
Energy of formation from the pure elements ... 0.65 eV per atom

a = 2.770 Å, b = 4.596 Å, c = 6.428 Å
α = 90.00°, β = 90.00°, γ = 90.00°
Site moments in Bohr magnetons follow the coordinates.
Fractional coordinates of all 4 atoms:
Li 0.000 0.000 0.795  0.00
Li 0.000 0.000 0.205  0.00
Ta 0.500 0.500 0.000  0.07
Ca 0.500 0.500 0.500  -0.04



10.
Material: Rb2S
Method: DFT, SCAN
State: PBEsol geometry

Formation energy (no corrections) ... -1193 meV per atom

a = 5.035 Å, b = 8.210 Å, c = 9.867 Å
α = 90.00°, β = 90.00°, γ = 90.00°
Fractional coordinates of all 12 atoms:
S 0.250 0.248 0.889
S 0.250 0.748 0.611
S 0.750 0.752 0.111
S 0.750 0.252 0.389
Rb 0.750 0.354 0.075
Rb 0.250 0.523 0.330
Rb 0.250 0.646 0.925
Rb 0.750 0.977 0.830
Rb 0.750 0.477 0.670
Rb 0.250 0.146 0.575
Rb 0.250 0.023 0.170
Rb 0.750 0.854 0.425



11.
Material: Sr2BeCu
Method: DFT, SCAN
State: PBEsol geometry

Energy of formation from the pure elements ... 0.14 eV per atom

a = 4.120 Å, b = 4.661 Å, c = 6.068 Å
α = 112.59°, β = 90.00°, γ = 90.00°
Fractional coordinates of all 4 atoms:
Be 0.000 0.791 0.582
Sr 0.000 0.107 0.213
Sr 0.500 0.393 0.786
Cu 0.500 0.708 0.417



12.
Material: RuPt2W
Method: DFT, SCAN
State: PBEsol geometry

Distance to the lowest polymorph of the same formula ... 0.000 eV per atom
Energy of formation from the pure elements ... -0.23 eV per atom

a = 3.902 Å, b = 3.902 Å, c = 4.721 Å
α = 114.41°, β = 114.41°, γ = 90.00°
Fractional coordinates of all 4 atoms:
Ru 0.500 0.500 0.000
Pt 0.000 0.000 0.000
Pt 0.250 0.750 0.500
W 0.750 0.250 0.500



13.
Material: NbTl2ZnCu
Method: DFT, SCAN
State: PBEsol geometry

Energy of formation from the pure elements ... 0.86 eV per atom

a = 4.414 Å, b = 4.904 Å, c = 4.904 Å
α = 90.00°, β = 90.00°, γ = 90.00°
Site moments in Bohr magnetons follow the coordinates.
Fractional coordinates of all 5 atoms:
Nb 0.500 0.500 0.500  2.03
Cu 0.000 0.000 0.000  0.03
Zn 0.500 0.000 0.000  -0.02
Tl 0.000 0.500 0.000  -0.01
Tl 0.000 0.000 0.500  -0.01



14.
Material: Tc3BP
Method: DFT, SCAN
State: PBEsol geometry

Energy of formation from the pure elements ... 0.37 eV per atom

a = 4.019 Å, b = 4.019 Å, c = 4.019 Å
α = 90.00°, β = 90.00°, γ = 90.00°
Site moments in Bohr magnetons follow the coordinates.
Fractional coordinates of all 5 atoms:
B 0.000 0.000 0.000  -0.10
Tc 0.500 0.000 0.000  0.74
Tc 0.000 0.500 0.000  0.74
Tc 0.000 0.000 0.500  0.74
P 0.500 0.500 0.500  -0.07



15.
Material: BaCoTe2
Method: DFT, SCAN
State: PBEsol geometry

Formation energy (no corrections) ... -116 meV per atom

a = 3.446 Å, b = 3.446 Å, c = 9.135 Å
α = 90.00°, β = 90.00°, γ = 90.00°
Fractional coordinates of all 4 atoms:
Te 0.500 0.500 0.262
Te 0.000 0.000 0.901
Ba 0.000 0.000 0.530
Co 0.500 0.500 0.807



16.
Material: K3SmGa3B12S12I
Method: DFT, SCAN
State: PBEsol geometry

Formation energy (no corrections) ... -933 meV per atom

a = 9.151 Å, b = 12.924 Å, c = 12.924 Å
α = 120.00°, β = 90.00°, γ = 90.00°
Fractional coordinates of all 64 atoms:
S 0.056 0.348 0.505
S 0.056 0.495 0.842
S 0.556 0.842 0.348
S 0.944 0.505 0.348
S 0.320 0.932 0.607
S 0.680 0.068 0.674
S 0.680 0.326 0.393
S 0.320 0.674 0.068
S 0.944 0.842 0.495
S 0.180 0.932 0.326
S 0.556 0.505 0.158
S 0.680 0.607 0.932
S 0.180 0.393 0.068
S 0.180 0.674 0.607
S 0.820 0.326 0.932
S 0.056 0.158 0.652
S 0.820 0.068 0.393
S 0.820 0.607 0.674
S 0.556 0.652 0.495
S 0.444 0.495 0.652
S 0.320 0.393 0.326
S 0.944 0.652 0.158
S 0.444 0.158 0.505
S 0.444 0.348 0.842
K 0.000 0.000 0.782
K 0.500 0.218 0.000
K 0.500 0.000 0.218
K 0.000 0.218 0.218
K 0.000 0.782 0.000
K 0.500 0.782 0.782
Ga 0.500 0.000 0.540
Ga 0.000 0.460 0.000
Ga 0.500 0.540 0.000
Ga 0.000 0.000 0.460
Ga 0.500 0.460 0.460
Ga 0.000 0.540 0.540
B 0.785 0.463 0.668
B 0.104 0.589 0.336
B 0.285 0.537 0.332
B 0.604 0.411 0.664
B 0.215 0.795 0.332
B 0.715 0.463 0.795
B 0.215 0.537 0.205
B 0.285 0.795 0.463
B 0.785 0.205 0.537
B 0.715 0.205 0.668
B 0.896 0.411 0.747
B 0.285 0.668 0.205
B 0.785 0.332 0.795
B 0.396 0.589 0.253
B 0.604 0.253 0.589
B 0.396 0.747 0.336
B 0.896 0.253 0.664
B 0.104 0.747 0.411
B 0.715 0.332 0.537
B 0.604 0.336 0.747
B 0.396 0.664 0.411
B 0.215 0.668 0.463
B 0.104 0.664 0.253
B 0.896 0.336 0.589
Sm 0.750 0.667 0.333
Sm 0.250 0.333 0.667
I 0.750 0.000 0.000
I 0.250 0.000 0.000



17.
Material: Mn2BeTc
Method: DFT, SCAN
State: PBEsol geometry

Energy of formation from the pure elements ... 0.00 eV per atom

a = 2.805 Å, b = 3.801 Å, c = 4.631 Å
α = 114.23°, β = 107.63°, γ = 90.00°
Fractional coordinates of all 4 atoms:
Tc 0.500 0.000 0.000
Be 0.000 0.500 0.000
Mn 0.745 0.745 0.490
Mn 0.255 0.255 0.510



18.
Material: Ni2MoPb
Method: DFT, SCAN
State: PBEsol geometry

Energy of formation from the pure elements ... 0.42 eV per atom

a = 2.901 Å, b = 2.901 Å, c = 7.180 Å
α = 90.00°, β = 90.00°, γ = 90.00°
Fractional coordinates of all 4 atoms:
Ni 0.000 0.000 0.280
Ni 0.000 0.000 0.720
Mo 0.500 0.500 0.500
Pb 0.500 0.500 0.000



19.
Material: BaInOs
Method: DFT, SCAN
State: PBEsol geometry

Energy of formation from the pure elements ... 0.44 eV per atom

a = 3.550 Å, b = 3.553 Å, c = 6.459 Å
α = 105.96°, β = 105.95°, γ = 90.00°
Fractional coordinates of all 3 atoms:
Ba 0.010 0.010 0.020
Os 0.703 0.703 0.406
In 0.287 0.287 0.574



20.
Material: BeIr2Pd
Method: DFT, SCAN
State: PBEsol geometry

Energy of formation from the pure elements ... 0.37 eV per atom

a = 3.605 Å, b = 3.605 Å, c = 9.178 Å
α = 101.33°, β = 101.33°, γ = 90.00°
Fractional coordinates of all 8 atoms:
Ir 0.625 0.613 0.750
Ir 0.863 0.375 0.250
Ir 0.125 0.137 0.750
Ir 0.387 0.875 0.250
Be 0.500 0.500 0.000
Be 0.750 0.250 0.500
Pd 0.250 0.750 0.500
Pd 0.000 0.000 0.000



21.
Material: TlCo2Sb
Method: DFT, SCAN
State: PBEsol geometry

Distance to the lowest polymorph of the same formula ... 0.000 eV per atom
Formation energy (no corrections) ... 326 meV per atom

a = 3.078 Å, b = 3.078 Å, c = 7.582 Å
α = 90.00°, β = 90.00°, γ = 90.00°
Site moments in Bohr magnetons follow the coordinates.
Fractional coordinates of all 4 atoms:
Tl 0.500 0.500 0.817  -0.04
Sb 0.000 0.000 0.413  -0.02
Co 0.500 0.500 0.206  1.61
Co 0.000 0.000 0.064  1.71



22.
Material: RbCrP2O7
Method: DFT, SCAN
State: PBEsol geometry

Formation energy (no corrections) ... -2581 meV per atom

a = 7.470 Å, b = 8.240 Å, c = 9.881 Å
α = 90.00°, β = 90.00°, γ = 106.19°
Site moments in Bohr magnetons follow the coordinates.
Fractional coordinates of all 44 atoms:
O 0.989 0.224 0.002  0.00
O 0.368 0.766 0.076  0.01
O 0.368 0.266 0.424  0.01
O 0.087 0.257 0.762  0.01
O 0.854 0.981 0.410  0.02
O 0.854 0.481 0.090  0.02
O 0.011 0.776 0.998  0.00
O 0.444 0.742 0.783  0.01
O 0.331 0.810 0.552  0.00
O 0.913 0.243 0.262  0.01
O 0.146 0.019 0.590  0.02
O 0.444 0.242 0.717  0.01
O 0.317 0.010 0.896  0.01
O 0.989 0.724 0.498  0.00
O 0.146 0.519 0.910  0.02
O 0.556 0.758 0.283  0.01
O 0.011 0.276 0.502  0.00
O 0.683 0.490 0.396  0.01
O 0.556 0.258 0.217  0.01
O 0.317 0.510 0.604  0.01
O 0.913 0.743 0.238  0.01
O 0.683 0.990 0.104  0.01
O 0.632 0.234 0.924  0.01
O 0.087 0.757 0.738  0.01
O 0.331 0.310 0.948  0.00
O 0.632 0.734 0.576  0.01
O 0.669 0.690 0.052  0.00
O 0.669 0.190 0.448  0.00
Rb 0.184 0.552 0.315  0.00
Rb 0.184 0.052 0.185  0.00
Rb 0.816 0.448 0.685  0.00
Rb 0.816 0.948 0.815  0.00
Cr 0.237 0.761 0.900  2.80
Cr 0.763 0.239 0.100  2.80
Cr 0.763 0.739 0.400  2.80
Cr 0.237 0.261 0.600  2.80
P 0.869 0.167 0.404  0.01
P 0.566 0.811 0.133  0.01
P 0.131 0.333 0.904  0.01
P 0.869 0.667 0.096  0.01
P 0.566 0.311 0.367  0.01
P 0.434 0.689 0.633  0.01
P 0.434 0.189 0.867  0.01
P 0.131 0.833 0.596  0.01